Entry 1:
A relaxed structure of Ac8Co3SnI4, computed with GGA-PBE.

Computed properties:
As for the energy relative to the elements, uncorrected: -625.4 meV/atom.

Cell lengths 9.949, 9.949, 9.949 Å; angles 53.35, 53.35, 53.35 degrees
Sites, in units of the cell vectors:
Ac 0.199 0.743 0.743
Ac 0.230 0.230 0.230
Ac 0.257 0.257 0.801
Ac 0.257 0.801 0.257
Ac 0.743 0.199 0.743
Ac 0.743 0.743 0.199
Ac 0.770 0.770 0.770
Ac 0.801 0.257 0.257
Co 0.000 0.000 0.500
Co 0.000 0.500 0.000
Co 0.500 0.000 0.000
Sn 0.500 0.500 0.500
I 0.000 0.000 0.000
I 0.000 0.500 0.500
I 0.500 0.000 0.500
I 0.500 0.500 0.000



Entry 2:
A relaxed structure of PuGaAg2, computed with GGA-PBE.

Computed properties:
The calculation puts the distance to the lowest polymorph of the same formula at 0.47 kJ/mol of atoms.

Cell lengths 4.924, 4.924, 4.924 Å; angles 60.00, 60.00, 60.00 degrees
Sites, in units of the cell vectors:
Pu 0.000 0.000 0.000
Ga 0.500 0.500 0.500
Ag 0.250 0.250 0.250
Ag 0.750 0.750 0.750



Entry 3:
A relaxed structure of Er4CdIr2Pd, computed with GGA-PBE.

Computed properties:
As for the total DFT energy (no corrections): -6.019 eV/atom.

Cell lengths 8.519, 8.519, 8.519 Å; angles 33.63, 33.63, 33.63 degrees
Sites, in units of the cell vectors:
Er 0.121 0.121 0.121
Er 0.371 0.371 0.371
Er 0.629 0.629 0.629
Er 0.879 0.879 0.879
Cd 0.500 0.500 0.500
Ir 0.249 0.249 0.249
Ir 0.751 0.751 0.751
Pd 0.000 0.000 0.000



Entry 4:
A relaxed structure of CaTl3Re2O9, computed with GGA-PBE.

Computed properties:
As for the energy relative to the elements, uncorrected: -1520.6 meV/atom.

Cell lengths 5.851, 5.851, 7.325 Å; angles 90.00, 90.00, 120.00 degrees
Sites, in units of the cell vectors:
Ca 0.000 0.000 0.000
Tl 0.000 0.000 0.500
Tl 0.333 0.667 0.168
Tl 0.667 0.333 0.832
Re 0.333 0.667 0.660
Re 0.667 0.333 0.340
O 0.000 0.500 0.500
O 0.182 0.363 0.799
O 0.182 0.818 0.799
O 0.363 0.182 0.201
O 0.500 0.000 0.500
O 0.500 0.500 0.500
O 0.637 0.818 0.799
O 0.818 0.182 0.201
O 0.818 0.637 0.201



no.,volume (Å³ per atom)
1,36.75
2,21.10
3,21.12
4,14.48